Density functional theory data (SCAN) for PbAu2Br at its PBEsol-relaxed geometry.

Structure (POSCAR):
```
PbAu2Br
1.0
-2.2592 -2.2966 2.2654
2.7236 0.1332 2.8512
-2.5732 4.7375 2.2367
Pb Au Br
1 2 1
Direct
0.5000 0.5000 0.5000 Pb
0.0000 0.0000 0.7398 Au
0.0000 0.0000 0.2602 Au
0.5000 0.5000 0.0000 Br
```

Summary:
space-group type: No. 123
uncorrected formation energy: 0.12 eV/atom

Density functional theory data (SCAN) for NaSr2Ag2 at its PBEsol-relaxed geometry.

Structure (POSCAR):
```
NaSr2Ag2
1.0
4.2933 0.0000 0.0000
0.0000 8.4159 0.0000
0.0000 0.0000 8.4159
Sr Ag Na
4 4 2
Direct
0.5000 0.1715 0.6715 Sr
0.5000 0.6715 0.8285 Sr
0.5000 0.8285 0.3285 Sr
0.5000 0.3285 0.1715 Sr
0.0000 0.3806 0.8806 Ag
0.0000 0.8806 0.6194 Ag
0.0000 0.6194 0.1194 Ag
0.0000 0.1194 0.3806 Ag
0.0000 0.0000 0.0000 Na
0.0000 0.5000 0.5000 Na
```

Summary:
space-group type: No. 127

Relative energy among the computed polymorphs (computed, kJ/mol of formula units): 51; 0
V (computed, Å³/f.u.): 91; 152
Total DFT energy (no corrections) (computed, Ha/atom): -2.141; -0.828